SrOs2 GGA-PBE relaxed; calculated formation energy = 0.600 eV/atom; VASP energy = -7.4476 eV per atom; SG = I4/mmm, No. 139; spin magnetization = 0.000 μB/atom
1.0
-0.033 -6.800 -0.646
2.378 -5.121 -3.845
0.590 5.832 3.507
Os Sr
2 1
Direct
0.301 0.301 0.000
0.699 0.699 0.000
0.000 0.000 0.000


AcBHPt3 GGA-PBE relaxed; VASP energy = -5.9258 eV per atom; SG = Cmcm, No. 63; spin magnetization = 0.000 μB/atom
1.0
-4.556 1.274 -3.204
2.527 -3.135 -4.840
-3.602 -2.781 4.016
Pt Ac H B
6 2 2 2
Direct
0.000 0.739 0.000
0.000 0.261 0.000
0.500 0.261 0.000
0.500 0.739 0.000
0.750 0.721 0.443
0.250 0.279 0.557
0.750 0.233 0.466
0.250 0.767 0.534
0.750 0.503 0.006
0.250 0.497 0.994
0.250 0.073 0.146
0.750 0.927 0.854


TbHo6Th12 GGA-PBE relaxed; calculated formation energy = 0.245 eV/atom; VASP energy = -6.1308 eV per atom; SG = R-3m, No. 166; spin magnetization = 0.000 μB/atom
1.0
-8.251 -0.462 2.771
2.419 -8.283 1.232
3.688 3.654 7.001
Th Ho Tb
12 6 1
Direct
0.247 0.753 0.500
0.083 0.350 0.350
0.350 0.350 0.083
0.247 0.500 0.753
0.350 0.083 0.350
0.753 0.500 0.247
0.753 0.247 0.500
0.500 0.247 0.753
0.650 0.917 0.650
0.650 0.650 0.917
0.917 0.650 0.650
0.500 0.753 0.247
0.901 0.901 0.338
0.099 0.662 0.099
0.662 0.099 0.099
0.901 0.338 0.901
0.099 0.099 0.662
0.338 0.901 0.901
0.000 0.000 0.000


Repeat the third record exactly.
TbHo6Th12 GGA-PBE relaxed; calculated formation energy = 0.245 eV/atom; VASP energy = -6.1308 eV per atom; SG = R-3m, No. 166; spin magnetization = 0.000 μB/atom
1.0
-8.251 -0.462 2.771
2.419 -8.283 1.232
3.688 3.654 7.001
Th Ho Tb
12 6 1
Direct
0.247 0.753 0.500
0.083 0.350 0.350
0.350 0.350 0.083
0.247 0.500 0.753
0.350 0.083 0.350
0.753 0.500 0.247
0.753 0.247 0.500
0.500 0.247 0.753
0.650 0.917 0.650
0.650 0.650 0.917
0.917 0.650 0.650
0.500 0.753 0.247
0.901 0.901 0.338
0.099 0.662 0.099
0.662 0.099 0.099
0.901 0.338 0.901
0.099 0.099 0.662
0.338 0.901 0.901
0.000 0.000 0.000


Q: What is the VASP energy in the first record?
A: -7.4476 eV per atom


Q: Which of these has the lowest VASP energy?
A: SrOs2


Q: Which value of spin magnetization does entry 2 give?
A: 0.000 μB/atom